[1]
## La2Pr3ErSe6 (PBE)

Data for La2Pr3ErSe6 after structural relaxation.

**Calculated total energy**: -72.10 eV/cell
**Total magnetic moment**: 0.0 μB per formula unit

Cell and atoms, written as extended XYZ:
```
12
Lattice="9.242 -2.110 0.000 9.242 2.110 0.000 -1.966 0.000 8.327" Properties=species:S:1:pos:R:3 pbc="T T T"
La 2.419 0.000 2.786
La 14.100 0.000 5.541
Pr 1.508 0.000 6.955
Pr 8.259 0.000 4.164
Pr 15.011 0.000 1.372
Er 9.242 0.000 0.000
Se -1.464 0.000 6.379
Se 5.355 0.000 3.455
Se 4.482 0.000 7.667
Se 12.037 0.000 0.660
Se 11.163 0.000 4.872
Se 17.982 0.000 1.948
```

---

[2]
## La2PrErSe5 (PBE)

Data for La2PrErSe5 after structural relaxation.

**Calculated total energy**: -49.81 eV/cell
**Total magnetic moment**: 0.7 μB per formula unit

Cell and atoms, written as extended XYZ:
```
9
Lattice="5.095 0.000 0.000 0.000 5.095 0.000 0.000 0.000 11.020" Properties=species:S:1:pos:R:3 pbc="T T T"
La 0.000 0.000 2.049
La 0.000 0.000 8.971
Pr 2.548 2.548 5.510
Er 2.548 2.548 0.000
Se 0.000 0.000 5.510
Se 0.000 2.548 0.000
Se 2.548 0.000 0.000
Se 2.548 2.548 2.738
Se 2.548 2.548 8.283
```

---

[3]
## LaPr2Er3Se6 (PBE)

Data for LaPr2Er3Se6 after structural relaxation.

**Calculated total energy**: -70.77 eV/cell
**Total magnetic moment**: 0.0 μB per formula unit

Cell and atoms, written as extended XYZ:
```
12
Lattice="9.162 -2.043 0.000 9.162 2.043 0.000 -2.322 0.000 8.159" Properties=species:S:1:pos:R:3 pbc="T T T"
La 0.000 0.000 0.000
Pr 4.541 0.000 5.421
Pr 11.462 0.000 2.738
Er -1.161 0.000 4.080
Er 5.718 0.000 1.357
Er 10.285 0.000 6.802
Se 1.576 0.000 4.864
Se 2.981 0.000 0.589
Se 8.474 0.000 2.150
Se 7.529 0.000 6.009
Se 13.022 0.000 7.570
Se 14.427 0.000 3.295
```

---

[4]
## La2PrEr3Se6 (PBE)

Data for La2PrEr3Se6 after structural relaxation.

**Calculated total energy**: -71.22 eV/cell
**Total magnetic moment**: 0.0 μB per formula unit

Cell and atoms, written as extended XYZ:
```
12
Lattice="9.171 -2.048 0.000 9.171 2.048 0.000 -2.300 0.000 8.172" Properties=species:S:1:pos:R:3 pbc="T T T"
La 2.275 0.000 2.705
La 13.768 0.000 5.467
Pr 9.171 0.000 0.000
Er 1.138 0.000 6.803
Er 8.021 0.000 4.086
Er 14.904 0.000 1.368
Se -1.597 0.000 6.032
Se 3.889 0.000 7.609
Se 5.270 0.000 3.306
Se 10.772 0.000 4.866
Se 12.154 0.000 0.563
Se 17.639 0.000 2.140
```

---

[5]
## LaPr3Er2Se6 (PBE)

Data for LaPr3Er2Se6 after structural relaxation.

**Calculated total energy**: -71.18 eV/cell
**Total magnetic moment**: 0.0 μB per formula unit

Cell and atoms, written as extended XYZ:
```
12
Lattice="3.611 -6.277 0.000 3.611 6.277 0.000 -2.423 0.000 6.929" Properties=species:S:1:pos:R:3 pbc="T T T"
La 0.000 0.000 0.000
Pr 2.400 4.279 3.465
Pr 2.400 0.000 3.465
Pr 2.400 -4.279 3.465
Er 3.611 2.100 0.000
Er 3.611 -2.100 0.000
Se 1.250 2.181 1.654
Se 0.091 0.000 5.328
Se 1.250 -2.181 1.654
Se 3.549 2.181 5.276
Se 4.708 0.000 1.601
Se 3.549 -2.181 5.276
```

---

[6]
## La2PrErSe6 (PBE)

Data for La2PrErSe6 after structural relaxation.

**Calculated total energy**: -59.17 eV/cell
**Total magnetic moment**: 0.0 μB per formula unit

Cell and atoms, written as extended XYZ:
```
10
Lattice="3.753 2.167 6.568 -3.753 2.167 6.568 0.000 -4.334 6.568" Properties=species:S:1:pos:R:3 pbc="T T T"
La 0.000 0.000 0.000
La 0.000 0.000 9.797
Pr 0.000 0.000 4.042
Er 0.000 0.000 13.817
Se -2.761 0.111 8.614
Se -1.031 -1.928 11.937
Se 1.285 -2.447 8.614
Se -1.154 1.857 11.937
Se 1.476 2.336 8.614
Se 2.185 0.071 11.937
```

---

[7]
## La3Pr2ErSe6 (PBE)

Data for La3Pr2ErSe6 after structural relaxation.

**Calculated total energy**: -72.60 eV/cell
**Total magnetic moment**: 0.0 μB per formula unit

Cell and atoms, written as extended XYZ:
```
12
Lattice="9.254 -2.117 0.000 9.254 2.117 0.000 -1.943 0.000 8.328" Properties=species:S:1:pos:R:3 pbc="T T T"
La 0.000 0.000 0.000
La 4.805 0.000 5.546
La 11.761 0.000 2.782
Pr 5.828 0.000 1.373
Pr 10.737 0.000 6.955
Er -0.971 0.000 4.164
Se 1.819 0.000 4.837
Se 2.920 0.000 0.684
Se 7.810 0.000 6.110
Se 8.755 0.000 2.218
Se 13.645 0.000 7.644
Se 14.747 0.000 3.492
```

---

[8]
## LaPr2ErSe4 (PBE)

Data for LaPr2ErSe4 after structural relaxation.

**Calculated total energy**: -47.71 eV/cell
**Total magnetic moment**: 0.0 μB per formula unit

Cell and atoms, written as extended XYZ:
```
8
Lattice="7.348 0.000 0.000 0.000 4.164 0.000 -2.360 0.000 6.967" Properties=species:S:1:pos:R:3 pbc="T T T"
La 0.000 0.000 0.000
Pr -1.180 2.082 3.483
Pr 2.494 0.000 3.483
Er 3.674 2.082 0.000
Se 1.328 2.082 1.696
Se 0.147 0.000 5.327
Se 4.841 0.000 1.640
Se 3.660 2.082 5.271
```